# CsLiP2C

CsLiP2C after structural relaxation (PBE, Alexandria).

The space group is P4/mmm (No. 123) and the conventional cell measures 4.3471, 4.3471 and 4.9815 Å, with angles of 90.00, 90.00 and 90.00 degrees. The distinct sites, in fractional coordinates, are Cs at (0.0000, 0.0000, 0.0000), Li at (0.5000, 0.5000, 0.0000), P at (0.0000, 0.5000, 0.5000) and C at (0.5000, 0.5000, 0.5000).

Its total energy is -3.713 eV per atom. The total magnetic moment comes out at 0.00 μB/f.u. The calculation puts the formation enthalpy at 0 K at 0.85 eV per atom.



# CsLiReC2

CsLiReC2 after structural relaxation (PBE, Alexandria).

The space group is P4/mmm (No. 123) and the conventional cell measures 4.5647, 4.5647 and 4.3952 Å, with angles of 90.00, 90.00 and 90.00 degrees. The distinct sites, in fractional coordinates, are Cs at (0.0000, 0.0000, 0.0000), Li at (0.0000, 0.0000, 0.5000), Re at (0.5000, 0.5000, 0.5000) and C at (0.0000, 0.5000, 0.0000).

Its total energy is -2.820 eV per atom. The total magnetic moment comes out at 0.14 μB/f.u. The calculation puts the formation enthalpy at 0 K at 3.91 eV per atom.